[1]
Entry from the Alexandria database: crystalline KAlMoO4 at its relaxed geometry (GGA+U).

D(E_F): 0.0 states/eV/f.u.
Mass density: 3.57 g/cm³

CIF file:
```
data_KAlMoO4
_space_group_name_H-M_alt 'P 1 21/m 1'
_space_group_IT_number 11
_space_group_name_Hall '-P 2yb'
_cell_length_a 5.3792
_cell_length_b 5.5457
_cell_length_c 7.2724
_cell_angle_alpha 90.00
_cell_angle_beta 104.24
_cell_angle_gamma 90.00
loop_
_atom_site_label
_atom_site_type_symbol
_atom_site_fract_x
_atom_site_fract_y
_atom_site_fract_z
K1 K 0.1321 0.2500 0.1070
Al1 Al 0.3842 0.2500 0.6643
Mo1 Mo 0.1685 0.7500 0.4586
O1 O 0.1501 0.0175 0.6694
O2 O 0.2909 0.7500 0.2068
O3 O 0.4517 0.2500 0.4362
```


[2]
Entry from the Alexandria database: crystalline K2AlMoO6 at its relaxed geometry (GGA+U).

D(E_F): 4.8 states/eV/f.u.
Mass density: 3.76 g/cm³

CIF file:
```
data_K2AlMoO6
_space_group_name_H-M_alt 'R -3 m'
_space_group_IT_number 166
_space_group_name_Hall '-R 3 2"'
_cell_length_a 5.7118
_cell_length_b 5.7118
_cell_length_c 27.8644
_cell_angle_alpha 90.00
_cell_angle_beta 90.00
_cell_angle_gamma 120.00
loop_
_atom_site_label
_atom_site_type_symbol
_atom_site_fract_x
_atom_site_fract_y
_atom_site_fract_z
K1 K 0.0000 0.0000 0.1297
K2 K 0.0000 0.0000 0.2826
Al1 Al 0.0000 0.0000 0.4037
Mo1 Mo 0.0000 0.0000 0.0000
Mo2 Mo 0.0000 0.0000 0.5000
O1 O 0.0036 0.5018 0.7058
O2 O 0.0365 0.5183 0.1214
```


[3]
Entry from the Alexandria database: crystalline K2AlMoO4 at its relaxed geometry (GGA+U).

Mass density: 2.62 g/cm³

CIF file:
```
data_K2AlMoO4
_space_group_name_H-M_alt 'F d d d'
_space_group_IT_number 70
_cell_length_a 5.5822
_cell_length_b 12.1962
_cell_length_c 19.7526
_cell_angle_alpha 90.00
_cell_angle_beta 90.00
_cell_angle_gamma 90.00
loop_
_space_group_symop_operation_xyz
'x,y,z'
'-x,-y,-z'
'-x+1/4,-y+1/4,z'
'x+1/4,y+1/4,-z'
'x,-y+1/4,-z+1/4'
'-x,y+1/4,z+1/4'
'-x+1/4,y,-z+1/4'
'x+1/4,-y,z+1/4'
'x,y+1/2,z+1/2'
'-x,-y+1/2,-z+1/2'
'-x+1/4,-y+3/4,z+1/2'
'x+1/4,y+3/4,-z+1/2'
'x,-y+3/4,-z+3/4'
'-x,y+3/4,z+3/4'
'-x+1/4,y+1/2,-z+3/4'
'x+1/4,-y+1/2,z+3/4'
'x+1/2,y,z+1/2'
'-x+1/2,-y,-z+1/2'
'-x+3/4,-y+1/4,z+1/2'
'x+3/4,y+1/4,-z+1/2'
'x+1/2,-y+1/4,-z+3/4'
'-x+1/2,y+1/4,z+3/4'
'-x+3/4,y,-z+3/4'
'x+3/4,-y,z+3/4'
'x+1/2,y+1/2,z'
'-x+1/2,-y+1/2,-z'
'-x+3/4,-y+3/4,z'
'x+3/4,y+3/4,-z'
'x+1/2,-y+3/4,-z+1/4'
'-x+1/2,y+3/4,z+1/4'
'-x+3/4,y+1/2,-z+1/4'
'x+3/4,-y+1/2,z+1/4'
loop_
_atom_site_label
_atom_site_type_symbol
_atom_site_fract_x
_atom_site_fract_y
_atom_site_fract_z
K1 K 0.1250 0.1250 0.3101
Al1 Al 0.1250 0.1250 0.6250
Mo1 Mo 0.1250 0.1250 0.1250
O1 O 0.0935 0.2892 0.8352
```


These records have electronic total energy values of -91.9 -365.6 -374.5 eV/cell, in the order they appear.